# 1
TiFe: relaxed, PBE-GGA.

a = 2.952 Å, b = 2.952 Å, c = 2.952 Å
α = 90.00°, β = 90.00°, γ = 90.00°
Atoms (fractional coordinates):
Ti1 0.000 0.000 0.000
Fe1 0.500 0.500 0.500

Values from the calculation:
Total energy, eV/atom: -8.59
Symmetry: Pm-3m
Magnetization, μB per cell: 0.00
ρ, g/cm3: 6.69
Energy relative to the elements, eV/atom: -0.41

# 2
TiFe: relaxed, PBE-GGA.

a = 3.466 Å, b = 3.466 Å, c = 3.466 Å
α = 60.00°, β = 60.00°, γ = 60.00°
Atoms (fractional coordinates):
Ti1 0.000 0.000 0.000
Fe1 0.500 0.500 0.500

Values from the calculation:
Total energy, eV/atom: -7.83
Symmetry: Fm-3m
Magnetization, μB per cell: 0.90
ρ, g/cm3: 5.85
Energy relative to the elements, eV/atom: 0.35

# 3
Ti6Fe5: relaxed, PBE-GGA.

a = 7.197 Å, b = 7.197 Å, c = 7.197 Å
α = 146.44°, β = 132.23°, γ = 59.64°
Atoms (fractional coordinates):
Ti1 0.081 0.336 0.745
Ti2 0.243 0.000 0.243
Ti3 0.408 0.664 0.745
Ti4 0.592 0.336 0.255
Ti5 0.757 0.000 0.757
Ti6 0.919 0.664 0.255
Fe1 0.172 0.172 0.000
Fe2 0.335 0.835 0.500
Fe3 0.500 0.500 0.000
Fe4 0.665 0.165 0.500
Fe5 0.828 0.828 0.000

Values from the calculation:
Total energy, eV/atom: -8.45
Symmetry: Immm
Magnetization, μB per cell: 0.00
ρ, g/cm3: 6.22
Energy relative to the elements, eV/atom: -0.29

# 4
TiFe: relaxed, PBE-GGA.

a = 4.010 Å, b = 4.010 Å, c = 4.910 Å
α = 90.00°, β = 90.00°, γ = 120.00°
Atoms (fractional coordinates):
Ti1 0.333 0.667 0.250
Ti2 0.667 0.333 0.750
Fe1 0.333 0.667 0.750
Fe2 0.667 0.333 0.250

Values from the calculation:
Total energy, eV/atom: -7.43
Symmetry: P6_3/mmc
Magnetization, μB per cell: 0.46
ρ, g/cm3: 5.04
Energy relative to the elements, eV/atom: 0.75

# 5
TiFe: relaxed, PBE-GGA.

a = 4.878 Å, b = 4.878 Å, c = 4.874 Å
α = 90.00°, β = 90.00°, γ = 90.00°
Atoms (fractional coordinates):
Ti1 0.208 0.208 0.000
Ti2 0.292 0.708 0.500
Ti3 0.708 0.292 0.500
Ti4 0.792 0.792 0.000
Fe1 0.194 0.194 0.500
Fe2 0.306 0.694 0.000
Fe3 0.694 0.306 0.000
Fe4 0.806 0.806 0.500

Values from the calculation:
Total energy, eV/atom: -7.91
Symmetry: P4_2/mnm
Magnetization, μB per cell: 3.71
ρ, g/cm3: 5.94
Energy relative to the elements, eV/atom: 0.27

# 6
TiFe6: relaxed, PBE-GGA.

a = 5.111 Å, b = 5.111 Å, c = 5.111 Å
α = 109.47°, β = 109.47°, γ = 109.47°
Atoms (fractional coordinates):
Ti1 0.000 0.000 0.000
Fe1 0.250 0.500 0.750
Fe2 0.250 0.750 0.500
Fe3 0.500 0.250 0.750
Fe4 0.500 0.750 0.250
Fe5 0.750 0.250 0.500
Fe6 0.750 0.500 0.250

Values from the calculation:
Total energy, eV/atom: -7.40
Symmetry: Im-3m
Magnetization, μB per cell: 0.00
ρ, g/cm3: 6.19
Energy relative to the elements, eV/atom: 0.98

# 7
TiFe: relaxed, PBE-GGA.

a = 4.810 Å, b = 5.008 Å, c = 8.946 Å
α = 90.00°, β = 90.00°, γ = 90.00°
Atoms (fractional coordinates):
Ti1 0.113 0.126 0.053
Ti2 0.130 0.548 0.803
Ti3 0.370 0.452 0.303
Ti4 0.387 0.874 0.553
Ti5 0.613 0.374 0.947
Ti6 0.630 0.952 0.197
Ti7 0.870 0.048 0.697
Ti8 0.887 0.626 0.447
Fe1 0.143 0.021 0.328
Fe2 0.217 0.341 0.564
Fe3 0.283 0.659 0.064
Fe4 0.357 0.979 0.828
Fe5 0.643 0.479 0.672
Fe6 0.717 0.159 0.436
Fe7 0.783 0.841 0.936
Fe8 0.857 0.521 0.172

Values from the calculation:
Total energy, eV/atom: -8.26
Symmetry: P2_12_12_1
Magnetization, μB per cell: 0.00
ρ, g/cm3: 6.39
Energy relative to the elements, eV/atom: -0.08

# 8
TiFe: relaxed, PBE-GGA.

a = 6.491 Å, b = 6.491 Å, c = 6.491 Å
α = 90.00°, β = 90.00°, γ = 90.00°
Atoms (fractional coordinates):
Ti1 0.000 0.250 0.500
Ti2 0.000 0.750 0.500
Ti3 0.250 0.500 0.000
Ti4 0.500 0.000 0.250
Ti5 0.500 0.000 0.750
Ti6 0.750 0.500 0.000
Fe1 0.000 0.500 0.250
Fe2 0.000 0.500 0.750
Fe3 0.250 0.000 0.500
Fe4 0.500 0.250 0.000
Fe5 0.500 0.750 0.000
Fe6 0.750 0.000 0.500

Values from the calculation:
Total energy, eV/atom: -6.64
Symmetry: Pm-3n
Magnetization, μB per cell: 0.39
ρ, g/cm3: 3.78
Energy relative to the elements, eV/atom: 1.54